(1)
LaCeTmTh | GGA-PBE | relaxed

The structure in POSCAR format:
```
LaCeTmTh
1.0
3.5467 0.0000 0.0000
0.0000 3.5467 0.0000
0.0000 0.0000 10.0103
La Ce Tm Th
1 1 1 1
Cartesian
0.0000 0.0000 0.0000 La
1.7734 1.7734 7.4730 Ce
1.7734 1.7734 2.7087 Tm
0.0000 0.0000 5.1208 Th
```

The space-group type is P4mm. Its size of the total moment is 0.00 Bohr magnetons per cell. As for the calculated formation energy: 3.2 kJ per mole of atoms. The excess energy over the best structure of this formula in the dataset is 0 meV/atom. As for the density of states at the Fermi level: 8.051 states/eV/cell.

(2)
Sr2Tb2Cd15 | GGA-PBE | relaxed

The structure in POSCAR format:
```
Sr2Tb2Cd15
1.0
5.1084 2.9494 5.4336
-5.1084 2.9494 5.4336
0.0000 -5.8987 5.4336
Sr Tb Cd
2 2 15
Cartesian
0.0000 0.0000 2.6866 Sr
0.0000 0.0000 13.6142 Sr
0.0000 0.0000 6.5923 Tb
0.0000 0.0000 9.7084 Tb
-2.5542 -1.4747 5.4336 Cd
0.0000 -3.0093 4.9986 Cd
-2.6061 1.5046 4.9986 Cd
-1.5023 -2.6020 8.1504 Cd
-3.0045 0.0000 8.1504 Cd
-2.6061 -1.5046 11.3021 Cd
-2.5542 1.4747 10.8671 Cd
1.5023 -2.6020 8.1504 Cd
0.0000 2.9494 5.4336 Cd
-1.5023 2.6020 8.1504 Cd
2.6061 1.5046 4.9986 Cd
3.0045 0.0000 8.1504 Cd
1.5023 2.6020 8.1504 Cd
2.6061 -1.5046 11.3021 Cd
0.0000 3.0093 11.3021 Cd
```

The space-group type is R-3m. Its size of the total moment is 0.00 Bohr magnetons per cell. As for the calculated formation energy: -16.5 kJ per mole of atoms. As for the density of states at the Fermi level: 9.911 states/eV/cell.

(3)
PmIn2P2Pt7 | GGA-PBE | relaxed

The structure in POSCAR format:
```
PmIn2P2Pt7
1.0
2.8112 -2.8117 0.0000
2.8112 2.8117 0.0000
-2.6904 0.0000 15.0913
Pm In P Pt
1 2 2 7
Cartesian
0.0000 0.0000 0.0000 Pm
0.0293 0.0000 6.4219 In
2.9028 0.0000 8.6693 In
0.1182 0.0000 11.5044 P
2.8139 0.0000 3.5869 P
1.4084 1.4059 2.2885 Pt
0.0956 0.0000 9.2369 Pt
1.5236 1.4059 12.8028 Pt
2.8112 0.0000 0.0000 Pt
1.4084 -1.4059 2.2885 Pt
2.8364 0.0000 5.8544 Pt
1.5236 -1.4059 12.8028 Pt
```

The space-group type is C2/m. Its size of the total moment is 0.00 Bohr magnetons per cell. As for the calculated formation energy: -58.0 kJ per mole of atoms. As for the density of states at the Fermi level: 4.954 states/eV/cell.

(4)
GeF5 | GGA-PBE | relaxed

The structure in POSCAR format:
```
GeF5
1.0
7.0114 0.0000 0.0000
0.0000 7.0114 0.0000
0.0000 0.0000 3.8402
Ge F
2 10
Cartesian
0.0000 0.0000 0.0000 Ge
3.5057 3.5057 1.9201 Ge
0.0000 0.0000 1.9201 F
0.5197 1.7082 0.0000 F
1.7082 6.4917 0.0000 F
1.7975 4.0254 1.9201 F
2.9860 1.7975 1.9201 F
3.5057 3.5057 0.0000 F
4.0254 5.2139 1.9201 F
5.2139 2.9860 1.9201 F
5.3031 0.5197 0.0000 F
6.4917 5.3031 0.0000 F
```

The space-group type is I4/m. Its size of the total moment is 2.08 Bohr magnetons per cell. As for the density of states at the Fermi level: 6.266 states/eV/cell. The value obtained for the raw formation energy is -11.0 eV per formula unit.

(5)
Tm6Pb3S2N | GGA-PBE | relaxed

The structure in POSCAR format:
```
Tm6Pb3S2N
1.0
3.2349 -5.6033 0.0000
3.2349 5.6033 0.0000
-2.1668 0.0000 7.6593
Tm Pb S N
6 3 2 1
Cartesian
0.9914 1.7211 1.3872 Tm
-0.1822 0.0000 6.2212 Tm
0.9914 -1.7211 1.3872 Tm
3.3115 1.7211 6.2721 Tm
4.4851 0.0000 1.4381 Tm
3.3115 -1.7211 6.2721 Tm
2.1515 3.5695 3.8297 Pb
2.1515 0.0000 3.8297 Pb
2.1515 -3.5695 3.8297 Pb
3.2349 1.8506 0.0000 S
3.2349 -1.8506 0.0000 S
0.0000 0.0000 0.0000 N
```

The space-group type is C2/m. Its size of the total moment is 0.00 Bohr magnetons per cell. As for the density of states at the Fermi level: 6.106 states/eV/cell. The value obtained for the raw formation energy is -13.4 eV per formula unit.

(6)
Rb2NaLiCd | GGA-PBE | relaxed

The structure in POSCAR format:
```
Rb2NaLiCd
1.0
7.1315 0.0000 0.0000
0.0000 7.1315 0.0000
0.0000 0.0000 5.7815
Rb Na Li Cd
2 1 1 1
Cartesian
0.0000 3.5657 0.0000 Rb
3.5657 0.0000 0.0000 Rb
0.0000 0.0000 0.0000 Na
3.5657 3.5657 2.8908 Li
0.0000 0.0000 2.8908 Cd
```

The space-group type is P4/mmm. Its size of the total moment is 0.00 Bohr magnetons per cell. As for the calculated formation energy: 26.0 kJ per mole of atoms. As for the density of states at the Fermi level: 2.664 states/eV/cell.